Computed, not measured: an optimized crystal structure of NaBe2NbTl at the GGA-PBE level of DFT.

abc: 4.406 4.406 4.961
angles: 90.00 90.00 90.00
Space group P4/mmm (No. 123)
Inequivalent atoms, fractional coordinates:
Na (0.000, 0.000, 0.000) x1
Be (0.000, 0.500, 0.000) x2
Nb (0.000, 0.000, 0.500) x1
Tl (0.500, 0.500, 0.500) x1

---

Computed, not measured: an optimized crystal structure of NaBeNbZn2 at the GGA-PBE level of DFT.

abc: 4.425 4.425 4.279
angles: 90.00 90.00 90.00
Space group P4/mmm (No. 123)
Inequivalent atoms, fractional coordinates:
Na (0.000, 0.000, 0.000) x1
Be (0.000, 0.000, 0.500) x1
Nb (0.500, 0.500, 0.500) x1
Zn (0.000, 0.500, 0.000) x2

---

Computed, not measured: an optimized crystal structure of NaNd2Be2O6 at the GGA-PBE level of DFT.

abc: 5.2985 5.2985 17.7744
angles: 90.00 90.00 120.00
Space group R-3m (No. 166, hexagonal axes)
Inequivalent atoms, fractional coordinates:
Na (0.0000, 0.0000, 0.0000) x3
Nd (0.0000, 0.0000, 0.2050) x6
Be (0.0000, 0.0000, 0.4300) x6
O (0.0012, 0.5006, 0.2338) x18

---

Computed, not measured: an optimized crystal structure of NaBe3Ni at the GGA-PBE level of DFT.

abc: 4.111 4.111 4.111
angles: 90.00 90.00 90.00
Space group Pm-3m (No. 221)
Inequivalent atoms, fractional coordinates:
Na (0.000, 0.000, 0.000) x1
Be (0.000, 0.500, 0.500) x3
Ni (0.500, 0.500, 0.500) x1

Summary:
E above lowest polymorph	0.0000	eV/atom

---

Computed, not measured: an optimized crystal structure of Na3BeNi at the GGA-PBE level of DFT.

abc: 5.238 5.238 5.238
angles: 90.00 90.00 90.00
Space group Pm-3m (No. 221)
Inequivalent atoms, fractional coordinates:
Na (0.000, 0.000, 0.500) x3
Be (0.500, 0.500, 0.500) x1
Ni (0.000, 0.000, 0.000) x1

Summary:
E above lowest polymorph	0.0000	eV/atom

---

Computed, not measured: an optimized crystal structure of Na2BeNi at the GGA-PBE level of DFT.

abc: 7.764 7.764 4.747
angles: 90.00 90.00 90.00
Space group I-42d (No. 122)
Inequivalent atoms, fractional coordinates:
Na (0.243, 0.750, 0.125) x8
Be (0.000, 0.000, 0.500) x4
Ni (0.000, 0.000, 0.000) x4

---

Computed, not measured: an optimized crystal structure of NaBe3Ni at the GGA-PBE level of DFT.

abc: 4.119 4.119 4.119
angles: 90.00 90.00 90.00
Space group Pm-3m (No. 221)
Inequivalent atoms, fractional coordinates:
Na (0.000, 0.000, 0.000) x1
Be (0.000, 0.000, 0.500) x3
Ni (0.500, 0.500, 0.500) x1

Summary:
E above lowest polymorph	1.5870	eV/atom

---

Computed, not measured: an optimized crystal structure of Na2BeNi2 at the GGA-PBE level of DFT.

abc: 5.619 5.619 4.846
angles: 90.00 90.00 90.00
Space group P4/mbm (No. 127)
Inequivalent atoms, fractional coordinates:
Na (0.180, 0.320, 0.000) x4
Be (0.000, 0.000, 0.500) x2
Ni (0.146, 0.646, 0.500) x4

---

Computed, not measured: an optimized crystal structure of NaBeNi2 at the GGA-PBE level of DFT.

abc: 4.466 4.466 14.715
angles: 90.00 90.00 90.00
Space group I4_1/amd (No. 141, origin choice 2)
Inequivalent atoms, fractional coordinates:
Na (0.000, 0.250, 0.375) x4
Be (0.000, 0.250, 0.875) x4
Ni (0.000, 0.000, 0.000) x8

---

Number 1: E -2.535 eV per atom, calculated volume 96 Å³/f.u.. Number 2: E -2.283 eV per atom, calculated volume 84 Å³/f.u.. Number 3: E -6.768 eV per atom, calculated volume 144 Å³/f.u.. Number 4: E -3.318 eV per atom, calculated volume 70 Å³/f.u.. Number 5: E -1.721 eV per atom, calculated volume 144 Å³/f.u.. Number 6: E -2.283 eV per atom, calculated volume 72 Å³/f.u.. Number 7: E -1.731 eV per atom, calculated volume 70 Å³/f.u.. Number 8: E -3.318 eV per atom, calculated volume 76 Å³/f.u.. Number 9: E -3.563 eV per atom, calculated volume 73 Å³/f.u..